Entry from Alexandria: an optimized crystal structure of VAg2O3 (PBE with a Hubbard U).

Results
SG   P-1
M_tot   0.000 μB/cell
E above lowest polymorph   0.0000 eV/atom

a = 6.1499 Å, b = 7.8705 Å, c = 8.4842 Å
α = 89.61°, β = 69.37°, γ = 89.47°
Last column: nearest neighbours and their distance in Å.
Fractional positions:
V (0.2404, 0.3501, 0.0151)  4 O 1.68-1.83
V (0.2560, 0.8481, 0.9852)  4 O 1.68-1.84
V (0.7440, 0.1519, 0.0148)  4 O 1.68-1.84
V (0.7596, 0.6499, 0.9849)  4 O 1.68-1.83
Ag (0.0013, 0.6456, 0.3857)  2 O 2.31-2.49
Ag (0.1912, 0.0946, 0.3707)  1 O 2.25
Ag (0.3888, 0.1449, 0.6145)  2 O 2.30-2.50
Ag (0.4343, 0.4068, 0.3712)  1 O 2.25
Ag (0.5657, 0.5932, 0.6288)  1 O 2.25
Ag (0.6112, 0.8551, 0.3855)  2 O 2.30-2.50
Ag (0.8088, 0.9054, 0.6293)  1 O 2.25
Ag (0.9987, 0.3544, 0.6143)  2 O 2.31-2.49
O (0.0417, 0.7517, 0.9115)  2 V 1.82
O (0.1620, 0.8909, 0.1954)  1 V 1.71
O (0.1878, 0.5358, 0.1200)  1 V 1.68
O (0.3103, 0.0337, 0.8794)  1 V 1.68
O (0.3525, 0.3927, 0.8047)  1 V 1.70
O (0.4549, 0.2519, 0.0928)  2 V 1.83-1.84
O (0.5451, 0.7481, 0.9072)  2 V 1.83-1.84
O (0.6475, 0.6073, 0.1953)  1 V 1.70
O (0.6897, 0.9663, 0.1206)  1 V 1.68
O (0.8122, 0.4642, 0.8800)  1 V 1.68
O (0.8380, 0.1091, 0.8046)  1 V 1.71
O (0.9583, 0.2483, 0.0885)  2 V 1.82